1.
Density functional theory data (PBE-GGA) for In4SiMo after structural relaxation.

Output
* crystal system: cubic

abc: 5.712 5.712 5.712
angles: 60.00 60.00 60.00
Element x y z (fractional)
Si 0.000 0.000 0.000
In 0.375 0.874 0.375
In 0.874 0.375 0.375
In 0.375 0.375 0.375
In 0.375 0.375 0.874
Mo 0.750 0.750 0.750

***

2.
Density functional theory data (PBE-GGA) for In2SiMo after structural relaxation.

Output
* crystal system: monoclinic

abc: 5.707 5.707 5.195
angles: 73.13 73.13 28.94
Element x y z (fractional)
In 0.980 0.980 0.055
In 0.778 0.778 0.688
Si 0.212 0.212 0.229
Mo 0.531 0.531 0.528

***

3.
Density functional theory data (PBE-GGA) for InSiMo after structural relaxation.

Output
* crystal system: tetragonal

abc: 5.326 5.326 5.326
angles: 143.97 143.96 51.88
Last column: magnetic moment on the atom in μB.
Element x y z (fractional)
Mo 0.304 0.304 0.000  0.13
In 0.999 0.999 0.000  0.00
Si 0.697 0.697 0.000  0.00

***

4.
Density functional theory data (PBE-GGA) for In2SiMo after structural relaxation.

Output
* crystal system: orthorhombic

abc: 3.038 3.038 8.994
angles: 90.00 90.00 104.98
Element x y z (fractional)
In 0.500 0.500 0.282
In 0.000 0.000 0.976
Si 0.500 0.500 0.712
Mo 0.000 0.000 0.529

***

5.
Density functional theory data (PBE-GGA) for In2SiMo after structural relaxation.

Output
* crystal system: tetragonal

abc: 5.032 5.032 3.048
angles: 90.00 90.00 90.00
Element x y z (fractional)
Mo 0.500 0.000 0.500
In 0.000 0.000 0.000
In 0.500 0.500 0.000
Si 0.000 0.500 0.500

***

6.
Density functional theory data (PBE-GGA) for In2SiMo after structural relaxation.

Output
* crystal system: tetragonal

abc: 7.837 7.837 6.167
angles: 50.55 50.55 90.00
Last column: magnetic moment on the atom in μB.
Element x y z (fractional)
Mo 0.000 0.000 0.000  1.41
Mo 0.750 0.250 0.500  1.41
In 0.607 0.125 0.250  0.01
In 0.143 0.625 0.250  0.01
In 0.375 0.393 0.750  0.00
In 0.875 0.857 0.750  0.00
Si 0.250 0.750 0.500  0.00
Si 0.500 0.500 0.000  0.00

***

7.
Density functional theory data (PBE-GGA) for In2SiMo after structural relaxation.

Output
* crystal system: orthorhombic

abc: 3.635 4.404 4.644
angles: 90.00 90.00 90.00
Element x y z (fractional)
Mo 0.500 0.000 0.500
Si 0.000 0.500 0.500
In 0.500 0.500 0.000
In 0.000 0.000 0.000

***

8.
Density functional theory data (PBE-GGA) for InSi3Mo after structural relaxation.

Output
* E above lowest polymorph: 0.000 eV per atom
* crystal system: cubic

abc: 4.801 4.801 4.801
angles: 90.00 90.00 90.00
Element x y z (fractional)
Si 0.000 0.000 0.500
Si 0.500 0.000 0.000
Si 0.000 0.500 0.000
In 0.500 0.500 0.500
Mo 0.000 0.000 0.000

***

9.
Density functional theory data (PBE-GGA) for In2SiMo after structural relaxation.

Output
* crystal system: orthorhombic

abc: 7.540 7.540 4.031
angles: 74.45 74.45 22.83
Element x y z (fractional)
Si 0.250 0.250 0.250
Mo 0.750 0.750 0.750
In 0.071 0.071 0.930
In 0.429 0.429 0.570

***

10.
Density functional theory data (PBE-GGA) for In2SiMo after structural relaxation.

Output
* crystal system: trigonal

abc: 9.145 9.145 9.145
angles: 20.29 20.29 20.29
Element x y z (fractional)
Mo 0.489 0.489 0.489
Si 0.763 0.763 0.763
In 0.240 0.240 0.240
In 0.008 0.008 0.008

***

11.
Density functional theory data (PBE-GGA) for InSi2Mo2 after structural relaxation.

Output
* E above lowest polymorph: 0.029 eV per atom
* crystal system: tetragonal

abc: 6.980 6.980 3.190
angles: 90.00 90.00 90.00
Element x y z (fractional)
Mo 0.660 0.840 0.500
Mo 0.160 0.660 0.500
Mo 0.840 0.340 0.500
Mo 0.340 0.160 0.500
Si 0.129 0.371 0.000
Si 0.871 0.629 0.000
Si 0.371 0.871 0.000
Si 0.629 0.129 0.000
In 0.000 0.000 0.000
In 0.500 0.500 0.000

***

12.
Density functional theory data (PBE-GGA) for In2SiMo after structural relaxation.

Output
* crystal system: orthorhombic

abc: 5.509 5.509 5.509
angles: 143.74 128.73 64.41
Element x y z (fractional)
Mo 0.530 0.530 0.000
Si 0.721 0.221 0.500
In 0.261 0.761 0.500
In 0.988 0.988 0.000

***

The formation energy (no corrections) results, record by record, are as follows: 0.81, 0.31, 0.05, 0.29, 0.57, 0.76, 0.54, 0.43, 0.15, 0.22, 0.00, 0.31 eV per atom.
The size of the total moment results, record by record, are as follows: 0.0, 0.0, 0.2, 0.0, 0.0, 1.6, 0.0, 0.0, 0.0, 0.0, 0.0, 0.0 μB per formula unit.